one:
Here is crystalline Sr3YSc at its relaxed geometry from Alexandria via LeMat-Bulk. Energies are from PBE.

a b c (Å): 6.1523 6.1523 6.1523
angles (deg): 90.00 90.00 90.00
Space group Pm-3m (No. 221)
Symmetry-distinct sites (fractional):
Sr (0.0000, 0.0000, 0.5000) (multiplicity 3)
Y (0.5000, 0.5000, 0.5000) (multiplicity 1)
Sc (0.0000, 0.0000, 0.0000) (multiplicity 1)

Values from the calculation:
Total magnetic moment ... 0.77 Bohr magnetons per cell
V ... 46.57 A^3/atom
Crystal system ... cubic

=====

two:
Here is crystalline Sr3YSc at its relaxed geometry from Alexandria via LeMat-Bulk. Energies are from PBE.

a b c (Å): 6.1711 6.1711 6.1711
angles (deg): 90.00 90.00 90.00
Space group Pm-3m (No. 221)
Symmetry-distinct sites (fractional):
Sr (0.0000, 0.0000, 0.5000) (multiplicity 3)
Y (0.0000, 0.0000, 0.0000) (multiplicity 1)
Sc (0.5000, 0.5000, 0.5000) (multiplicity 1)

Values from the calculation:
Total magnetic moment ... 0.04 Bohr magnetons per cell
V ... 47.00 A^3/atom
Crystal system ... cubic

=====

Most favorable structure: one. The second most favorable one is 199 meV/atom above it.